(1)
## Ho3Tm2Pd2 (PBE)

Data for an optimized crystal structure of Ho3Tm2Pd2.

Computed properties:
Its space group is C2/m. The value obtained for the calculated formation energy is -535 meV/atom. The calculation puts the total magnetization at 0.000 μB per formula unit. Its calculated total energy is -5.258 eV/atom.

Cell: 6.4054 6.4054 9.0148 Å, 115.32 115.32 33.35°
Last column: nearest neighbours and their distance in Å.
Fractional coordinates of all 7 atoms:
1 Ho 0.0000 0.0000 0.0000  4 Pd 2.89
2 Ho 0.1126 0.1126 0.4393  3 Pd 2.93-2.94
3 Ho 0.8874 0.8874 0.5607  3 Pd 2.93-2.94
4 Tm 0.3410 0.3410 0.1860  2 Pd 2.93
5 Tm 0.6590 0.6590 0.8140  2 Pd 2.93
6 Pd 0.3266 0.3266 0.7653  5 Ho 2.89-2.94, 2 Tm 2.93
7 Pd 0.6734 0.6734 0.2347  5 Ho 2.89-2.94, 2 Tm 2.93

(2)
## Ho2Tm3Pd2 (PBE)

Data for an optimized crystal structure of Ho2Tm3Pd2.

Computed properties:
Its space group is C2/m. The value obtained for the calculated formation energy is -549 meV/atom. The calculation puts the total magnetization at 0.000 μB per formula unit. Its calculated total energy is -5.257 eV/atom.

Cell: 6.3974 6.3974 8.9979 Å, 115.73 115.73 33.33°
Last column: nearest neighbours and their distance in Å.
Fractional coordinates of all 7 atoms:
1 Ho 0.1571 0.1571 0.3130  2 Pd 2.98
2 Ho 0.8429 0.8429 0.6870  2 Pd 2.98
3 Tm 0.3870 0.3870 0.0603  3 Pd 2.89-2.92
4 Tm 0.5000 0.5000 0.5000  4 Pd 2.87
5 Tm 0.6130 0.6130 0.9397  3 Pd 2.89-2.92
6 Pd 0.1706 0.1706 0.7367  5 Tm 2.87-2.92, 2 Ho 2.98
7 Pd 0.8294 0.8294 0.2633  5 Tm 2.87-2.92, 2 Ho 2.98

(3)
## HoTm3Pd2 (PBE)

Data for an optimized crystal structure of HoTm3Pd2.

Computed properties:
Its space group is Ibam. The value obtained for the calculated formation energy is -527 meV/atom. The calculation puts the total magnetization at 0.000 μB per formula unit. Its calculated total energy is -5.257 eV/atom.

Cell: 8.3526 8.3526 8.3526 Å, 131.57 72.00 130.20°
Last column: nearest neighbours and their distance in Å.
Fractional coordinates of all 12 atoms:
1 Ho 0.0000 0.0000 0.0000  2 Pd 2.76
2 Ho 0.5000 0.5000 0.0000  2 Pd 2.76
3 Tm 0.0168 0.2500 0.7668  4 Pd 2.83-2.94
4 Tm 0.2500 0.7500 0.5000  4 Pd 2.96
5 Tm 0.4832 0.2500 0.2332  4 Pd 2.83-2.94
6 Tm 0.5168 0.7500 0.7668  4 Pd 2.83-2.94
7 Tm 0.7500 0.2500 0.5000  4 Pd 2.96
8 Tm 0.9832 0.7500 0.2332  4 Pd 2.83-2.94
9 Pd 0.1408 0.7079 0.8487  1 Ho 2.76, 6 Tm 2.83-2.96
10 Pd 0.3592 0.2079 0.5672  1 Ho 2.76, 6 Tm 2.83-2.96
11 Pd 0.6408 0.7921 0.4328  1 Ho 2.76, 6 Tm 2.83-2.96
12 Pd 0.8592 0.2921 0.1513  1 Ho 2.76, 6 Tm 2.83-2.96

(4)
## Ho3TmPd4 (PBE)

Data for an optimized crystal structure of Ho3TmPd4.

Computed properties:
Its space group is Pmmm. The value obtained for the calculated formation energy is -916 meV/atom. The calculation puts the total magnetization at 0.000 μB per formula unit. Its calculated total energy is -5.788 eV/atom.

Cell: 3.4179 4.9725 9.9458 Å, 90.00 90.00 90.00°
Last column: nearest neighbours and their distance in Å.
Fractional coordinates of all 8 atoms:
1 Ho 0.0000 0.0000 0.0000  8 Pd 3.02-3.04
2 Ho 0.0000 0.5000 0.2507  8 Pd 3.01-3.02
3 Ho 0.0000 0.5000 0.7493  8 Pd 3.01-3.02
4 Tm 0.0000 0.0000 0.5000  8 Pd 2.99-3.02
5 Pd 0.5000 0.0000 0.2528  2 Tm 2.99, 6 Ho 3.02-3.04
6 Pd 0.5000 0.0000 0.7472  2 Tm 2.99, 6 Ho 3.02-3.04
7 Pd 0.5000 0.5000 0.0000  8 Ho 3.02
8 Pd 0.5000 0.5000 0.5000  4 Ho 3.01, 4 Tm 3.02

(5)
## Ho2TmPd (PBE)

Data for an optimized crystal structure of Ho2TmPd.

Computed properties:
Its space group is R3m. The value obtained for the calculated formation energy is -298 meV/atom. The calculation puts the total magnetization at 0.417 μB per formula unit. Its calculated total energy is -5.003 eV/atom.

Cell: 9.7870 9.7870 9.7870 Å, 21.56 21.56 21.56°
Last column: nearest neighbours and their distance in Å.
Fractional coordinates of all 4 atoms:
1 Ho 0.0000 0.0000 0.0000  3 Pd 2.85
2 Ho 0.1996 0.1996 0.1996  3 Pd 2.85
3 Tm 0.7656 0.7656 0.7656  6 Ho 3.54-3.58, 6 Tm 3.66
4 Pd 0.5999 0.5999 0.5999  6 Ho 2.85

(6)
## Ho2Tm2Pd3 (PBE)

Data for an optimized crystal structure of Ho2Tm2Pd3.

Computed properties:
Its space group is R-3m. The value obtained for the calculated formation energy is -757 meV/atom. The calculation puts the total magnetization at 0.000 μB per formula unit. Its calculated total energy is -5.568 eV/atom.

Cell: 8.5020 8.5020 8.5020 Å, 33.27 33.27 33.27°
Last column: nearest neighbours and their distance in Å.
Fractional coordinates of all 7 atoms:
1 Ho 0.1251 0.1251 0.1251  5 Pd 2.99-3.01
2 Ho 0.8749 0.8749 0.8749  5 Pd 2.99-3.01
3 Tm 0.3749 0.3749 0.3749  7 Pd 2.98-3.00
4 Tm 0.6251 0.6251 0.6251  7 Pd 2.98-3.00
5 Pd 0.0000 0.0000 0.0000  6 Tm 2.98, 2 Ho 3.01
6 Pd 0.2501 0.2501 0.2501  4 Tm 2.98-3.00, 4 Ho 2.99-3.01
7 Pd 0.7499 0.7499 0.7499  4 Tm 2.98-3.00, 4 Ho 2.99-3.01

(7)
## Ho4TmPd2 (PBE)

Data for an optimized crystal structure of Ho4TmPd2.

Computed properties:
Its space group is R-3m. The value obtained for the calculated formation energy is -353 meV/atom. The calculation puts the total magnetization at 0.000 μB per formula unit. Its calculated total energy is -5.091 eV/atom.

Cell: 15.2266 15.2266 15.2266 Å, 14.74 14.74 14.74°
Last column: nearest neighbours and their distance in Å.
Fractional coordinates of all 7 atoms:
1 Ho 0.1054 0.1054 0.1054  3 Pd 2.81
2 Ho 0.3018 0.3018 0.3018  3 Pd 2.81
3 Ho 0.6982 0.6982 0.6982  3 Pd 2.81
4 Ho 0.8946 0.8946 0.8946  3 Pd 2.81
5 Tm 0.5000 0.5000 0.5000  6 Ho 3.57, 6 Tm 3.91
6 Pd 0.4018 0.4018 0.4018  6 Ho 2.81
7 Pd 0.5982 0.5982 0.5982  6 Ho 2.81

(8)
## HoTm3Pd12 (PBE)

Data for an optimized crystal structure of HoTm3Pd12.

Computed properties:
Its space group is P4/mmm. The value obtained for the calculated formation energy is -906 meV/atom. The calculation puts the total magnetization at 0.000 μB per formula unit. Its calculated total energy is -5.925 eV/atom.

Cell: 4.0941 4.0941 16.4409 Å, 90.00 90.00 90.00°
Last column: nearest neighbours and their distance in Å.
Fractional coordinates of all 16 atoms:
1 Ho 0.0000 0.0000 0.0000  12 Pd 2.89-2.91
2 Tm 0.0000 0.0000 0.2508  12 Pd 2.89-2.90
3 Tm 0.0000 0.0000 0.5000  12 Pd 2.89-2.90
4 Tm 0.0000 0.0000 0.7492  12 Pd 2.89-2.90
5 Pd 0.0000 0.5000 0.1261  8 Pd 2.89-2.91, 2 Tm 2.90, 2 Ho 2.91
6 Pd 0.0000 0.5000 0.3753  4 Tm 2.89-2.90, 8 Pd 2.89-2.90
7 Pd 0.0000 0.5000 0.6247  4 Tm 2.89-2.90, 8 Pd 2.89-2.90
8 Pd 0.0000 0.5000 0.8739  8 Pd 2.89-2.91, 2 Tm 2.90, 2 Ho 2.91
9 Pd 0.5000 0.0000 0.1261  8 Pd 2.89-2.91, 2 Tm 2.90, 2 Ho 2.91
10 Pd 0.5000 0.0000 0.3753  4 Tm 2.89-2.90, 8 Pd 2.89-2.90
11 Pd 0.5000 0.0000 0.6247  4 Tm 2.89-2.90, 8 Pd 2.89-2.90
12 Pd 0.5000 0.0000 0.8739  8 Pd 2.89-2.91, 2 Tm 2.90, 2 Ho 2.91
13 Pd 0.5000 0.5000 0.0000  4 Ho 2.89, 8 Pd 2.91
14 Pd 0.5000 0.5000 0.2506  8 Pd 2.89-2.90, 4 Tm 2.89
15 Pd 0.5000 0.5000 0.5000  4 Tm 2.89, 8 Pd 2.90
16 Pd 0.5000 0.5000 0.7494  8 Pd 2.89-2.90, 4 Tm 2.89

(9)
## HoTm3Pd2 (PBE)

Data for an optimized crystal structure of HoTm3Pd2.

Computed properties:
Its space group is Pmc2_1. The value obtained for the calculated formation energy is -659 meV/atom. The calculation puts the total magnetization at 0.000 μB per formula unit. Its calculated total energy is -5.388 eV/atom.

Cell: 4.8343 8.6530 7.0200 Å, 90.00 90.00 90.00°
Last column: nearest neighbours and their distance in Å.
Fractional coordinates of all 12 atoms:
1 Ho 0.0000 0.0783 0.0000  3 Pd 2.81-3.10
2 Ho 0.0000 0.9217 0.5000  3 Pd 2.81-3.10
3 Tm 0.0000 0.3298 0.6280  4 Pd 2.83-2.96
4 Tm 0.0000 0.6702 0.1280  4 Pd 2.83-2.96
5 Tm 0.5000 0.1713 0.3388  4 Pd 2.83-2.96
6 Tm 0.5000 0.4224 0.9669  3 Pd 2.80-3.09
7 Tm 0.5000 0.5776 0.4669  3 Pd 2.80-3.09
8 Tm 0.5000 0.8287 0.8388  4 Pd 2.83-2.96
9 Pd 0.0000 0.3463 0.2251  1 Ho 2.81, 6 Tm 2.83-3.09
10 Pd 0.0000 0.6537 0.7251  1 Ho 2.81, 6 Tm 2.83-3.09
11 Pd 0.5000 0.1557 0.7417  5 Tm 2.80-2.96, 2 Ho 3.10
12 Pd 0.5000 0.8443 0.2417  5 Tm 2.80-2.96, 2 Ho 3.10

(10)
## HoTm4Pd5 (PBE)

Data for an optimized crystal structure of HoTm4Pd5.

Computed properties:
Its space group is P4/mmm. The value obtained for the calculated formation energy is -925 meV/atom. The calculation puts the total magnetization at 0.000 μB per formula unit. Its calculated total energy is -5.768 eV/atom.

Cell: 3.4458 3.4458 17.5924 Å, 90.00 90.00 90.00°
Last column: nearest neighbours and their distance in Å.
Fractional coordinates of all 10 atoms:
1 Ho 0.0000 0.0000 0.0000  8 Pd 3.03
2 Tm 0.0000 0.0000 0.2014  8 Pd 2.99-3.00
3 Tm 0.0000 0.0000 0.4005  8 Pd 3.00
4 Tm 0.0000 0.0000 0.5995  8 Pd 3.00
5 Tm 0.0000 0.0000 0.7986  8 Pd 2.99-3.00
6 Pd 0.5000 0.5000 0.1025  4 Tm 2.99, 4 Ho 3.03
7 Pd 0.5000 0.5000 0.3009  8 Tm 3.00
8 Pd 0.5000 0.5000 0.5000  8 Tm 3.00
9 Pd 0.5000 0.5000 0.6991  8 Tm 3.00
10 Pd 0.5000 0.5000 0.8975  4 Tm 2.99, 4 Ho 3.03

(11)
## Ho4TmPd5 (PBE)

Data for an optimized crystal structure of Ho4TmPd5.

Computed properties:
Its space group is P4/mmm. The value obtained for the calculated formation energy is -904 meV/atom. The calculation puts the total magnetization at 0.000 μB per formula unit. Its calculated total energy is -5.778 eV/atom.

Cell: 3.4570 3.4570 17.7382 Å, 90.00 90.00 90.00°
Last column: nearest neighbours and their distance in Å.
Fractional coordinates of all 10 atoms:
1 Ho 0.0000 0.0000 0.1004  8 Pd 3.02
2 Ho 0.0000 0.0000 0.3013  8 Pd 3.03
3 Ho 0.0000 0.0000 0.6987  8 Pd 3.03
4 Ho 0.0000 0.0000 0.8996  8 Pd 3.02
5 Tm 0.0000 0.0000 0.5000  8 Pd 3.00
6 Pd 0.5000 0.5000 0.0000  8 Ho 3.02
7 Pd 0.5000 0.5000 0.2007  8 Ho 3.02-3.03
8 Pd 0.5000 0.5000 0.4023  4 Tm 3.00, 4 Ho 3.03
9 Pd 0.5000 0.5000 0.5977  4 Tm 3.00, 4 Ho 3.03
10 Pd 0.5000 0.5000 0.7993  8 Ho 3.02-3.03

(12)
## HoTm2Pd (PBE)

Data for an optimized crystal structure of HoTm2Pd.

Computed properties:
Its space group is P4/mmm. The value obtained for the calculated formation energy is -439 meV/atom. The calculation puts the total magnetization at 0.000 μB per formula unit. Its calculated total energy is -5.117 eV/atom.

Cell: 3.5308 3.5308 8.2928 Å, 90.00 90.00 90.00°
Last column: nearest neighbours and their distance in Å.
Fractional coordinates of all 4 atoms:
1 Ho 0.0000 0.0000 0.0000  8 Tm 3.53, 4 Ho 3.53
2 Tm 0.5000 0.5000 0.3006  4 Pd 2.99, 1 Tm 3.31
3 Tm 0.5000 0.5000 0.6994  4 Pd 2.99, 1 Tm 3.31
4 Pd 0.0000 0.0000 0.5000  8 Tm 2.99